(w)
Al2N2Cl: relaxed, PBE.

Unit cell a=4.4194 b=4.4194 c=4.4194 alpha=125.60 beta=125.60 gamma=80.55
Positions (direct):
Al1 0.2500 0.7500 0.5000
Al2 0.7500 0.2500 0.5000
N1 0.1107 0.1107 0.0000
N2 0.8893 0.8893 0.0000
Cl1 0.5000 0.5000 0.0000

**Symmetry**: No. 139
**Spin magnetization**: 0.0 Bohr magnetons per cell
**ρ**: 3.5 g/cm3

(x)
Al2N2Cl: relaxed, PBE.

Unit cell a=6.4353 b=6.4353 c=2.7205 alpha=90.00 beta=90.00 gamma=90.00
Positions (direct):
Al1 0.1427 0.3573 0.0000
Al2 0.3573 0.8573 0.0000
Al3 0.6427 0.1427 0.0000
Al4 0.8573 0.6427 0.0000
N1 0.1329 0.6329 0.5000
N2 0.3671 0.1329 0.5000
N3 0.6329 0.8671 0.5000
N4 0.8671 0.3671 0.5000
Cl1 0.0000 0.0000 0.5000
Cl2 0.5000 0.5000 0.5000

**Symmetry**: No. 127
**Spin magnetization**: 0.0 Bohr magnetons per cell
**ρ**: 3.5 g/cm3

Most stable of them? (w).